1.
Computed, not measured: a relaxed BaNa2Li crystal at the PBE level of DFT.

## Properties
Its offset from the most stable computed form is 31.6 meV per atom. The calculation puts the total magnetization at 0.00 μB/f.u. As for the density: 2.0 g cm⁻³. The electronic total energy comes out at -1.56 eV/atom. As for the space group: No. 123.

Geometry as POSCAR:
```
BaNa2Li
1.0
4.102 0.000 0.000
0.000 4.102 0.000
0.000 0.000 9.394
Ba Na Li
1 2 1
Cartesian
0.000 0.000 0.000 Ba
2.051 2.051 2.884 Na
2.051 2.051 6.510 Na
0.000 0.000 4.697 Li
```

=====

2.
Computed, not measured: a relaxed Pm5PrDy2Tm crystal at the PBE level of DFT.

## Properties
The calculation puts the total magnetization at 0.00 μB/f.u. As for the density: 7.4 g cm⁻³. The electronic total energy comes out at -4.54 eV/atom. As for the space group: No. 36.

Geometry as POSCAR:
```
Pm5PrDy2Tm
1.0
2.848 -10.129 0.000
2.848 10.129 0.000
0.000 0.000 10.639
Pm Pr Dy Tm
10 2 4 2
Cartesian
2.848 9.783 5.319 Pm
2.848 4.461 8.447 Pm
2.848 4.107 1.991 Pm
2.848 2.337 5.336 Pm
2.848 0.399 2.346 Pm
2.848 -0.399 7.665 Pm
2.848 -2.337 0.016 Pm
2.848 -4.107 7.310 Pm
2.848 -4.461 3.128 Pm
2.848 -9.783 0.000 Pm
2.848 1.766 9.937 Pr
2.848 -1.766 4.618 Pr
2.848 7.825 2.271 Dy
2.848 7.787 8.477 Dy
2.848 -7.787 3.157 Dy
2.848 -7.825 7.590 Dy
2.848 6.096 5.224 Tm
2.848 -6.096 10.543 Tm
```